Record 1
Ge2MoAu | GGA-PBE | optimized geometry

Summary:
electronic total energy	-22.6	eV for the cell shown
formation energy	0.18	eV per atom
symmetry	No. 160

a b c (Å): 8.721 8.721 8.721
angles (deg): 20.22 20.22 20.22
Positions (direct):
Ge: 0.000 0.000 0.000
Ge: 0.182 0.182 0.182
Mo: 0.592 0.592 0.592
Au: 0.754 0.754 0.754

=====

Record 2
PmAg2Bi | GGA-PBE | optimized geometry

Summary:
electronic total energy	-15.6	eV for the cell shown
formation energy	-0.32	eV per atom
symmetry	No. 123

a b c (Å): 4.507 4.507 4.868
angles (deg): 90.00 90.00 90.00
Positions (direct):
Pm: 0.000 0.000 0.000
Ag: 0.000 0.500 0.500
Ag: 0.500 0.000 0.500
Bi: 0.500 0.500 0.000

=====

Record 3
Sm2HoIn2Ag2 | GGA-PBE | optimized geometry

Summary:
electronic total energy	-27.2	eV for the cell shown
formation energy	-0.29	eV per atom
symmetry	No. 166

a b c (Å): 9.454 9.454 9.454
angles (deg): 29.73 29.73 29.73
Positions (direct):
Sm: 0.126 0.126 0.126
Sm: 0.874 0.874 0.874
Ho: 0.000 0.000 0.000
In: 0.263 0.263 0.263
In: 0.737 0.737 0.737
Ag: 0.392 0.392 0.392
Ag: 0.608 0.608 0.608

=====

Record 4
La16Pr6Tm7 | GGA-PBE | optimized geometry

Summary:
electronic total energy	-133.8	eV for the cell shown
formation energy	0.17	eV per atom
symmetry	No. 225

a b c (Å): 11.384 11.384 11.384
angles (deg): 60.00 60.00 60.00
Positions (direct):
La: 0.036 0.655 0.655
La: 0.120 0.120 0.120
La: 0.120 0.120 0.639
La: 0.120 0.639 0.120
La: 0.345 0.345 0.345
La: 0.345 0.345 0.964
La: 0.345 0.964 0.345
La: 0.361 0.880 0.880
La: 0.639 0.120 0.120
La: 0.655 0.036 0.655
La: 0.655 0.655 0.036
La: 0.655 0.655 0.655
La: 0.880 0.361 0.880
La: 0.880 0.880 0.361
La: 0.880 0.880 0.880
La: 0.964 0.345 0.345
Pr: 0.301 0.301 0.699
Pr: 0.301 0.699 0.301
Pr: 0.301 0.699 0.699
Pr: 0.699 0.301 0.301
Pr: 0.699 0.301 0.699
Pr: 0.699 0.699 0.301
Tm: 0.000 0.000 0.000
Tm: 0.000 0.000 0.500
Tm: 0.000 0.500 0.000
Tm: 0.000 0.500 0.500
Tm: 0.500 0.000 0.000
Tm: 0.500 0.000 0.500
Tm: 0.500 0.500 0.000